# 1
# La2Tb6Nd (GGA-PBE, relaxed)
# polymorph energy (0 for the lowest one) = 0 meV per atom
# ΔH_f (0 K) = 62 meV/atom
# magnetic moment = 0.000 μB per atom
data_La2Tb6Nd
_space_group_name_H-M_alt 'C 1 2/m 1'
_space_group_IT_number 12
_space_group_name_Hall '-C 2y'
_cell_length_a 17.2184
_cell_length_b 9.9294
_cell_length_c 3.5253
_cell_angle_alpha 90.00
_cell_angle_beta 90.06
_cell_angle_gamma 90.00
loop_
_atom_site_label
_atom_site_fract_x
_atom_site_fract_y
_atom_site_fract_z
_atom_site_occupancy
La1 0.1666 0.0000 0.0002 1
Tb1 0.0000 0.1677 0.5000 1
Tb2 0.1661 0.3338 0.4999 1
Nd1 0.0000 0.5000 0.0000 1

# 2
# LaTbNd2 (GGA-PBE, relaxed)
# polymorph energy (0 for the lowest one) = 164 meV per atom
# ΔH_f (0 K) = 180 meV/atom
# magnetic moment = 0.004 μB per atom
data_LaTbNd2
_space_group_name_H-M_alt 'R -3 m'
_space_group_IT_number 166
_space_group_name_Hall '-R 3 2"'
_cell_length_a 3.5736
_cell_length_b 3.5736
_cell_length_c 38.0710
_cell_angle_alpha 90.00
_cell_angle_beta 90.00
_cell_angle_gamma 120.00
loop_
_atom_site_label
_atom_site_fract_x
_atom_site_fract_y
_atom_site_fract_z
_atom_site_occupancy
La1 0.0000 0.0000 0.0000 1
Tb1 0.0000 0.0000 0.5000 1
Nd1 0.0000 0.0000 0.4122 1

# 3
# La12Tb5Nd2 (GGA-PBE, relaxed)
# polymorph energy (0 for the lowest one) = 76 meV per atom
# ΔH_f (0 K) = 174 meV/atom
# magnetic moment = 0.000 μB per atom
data_La12Tb5Nd2
_space_group_name_H-M_alt 'C 1 2/m 1'
_space_group_IT_number 12
_space_group_name_Hall '-C 2y'
_cell_length_a 22.1838
_cell_length_b 9.6392
_cell_length_c 6.3471
_cell_angle_alpha 90.00
_cell_angle_beta 91.50
_cell_angle_gamma 90.00
loop_
_atom_site_label
_atom_site_fract_x
_atom_site_fract_y
_atom_site_fract_z
_atom_site_occupancy
La1 0.0696 0.0000 0.4184 1
La2 0.0783 0.5000 0.0579 1
La3 0.1267 0.3024 0.6088 1
La4 0.2080 0.3264 0.1521 1
Tb1 0.0000 0.5000 0.5000 1
Tb2 0.1404 0.0000 0.9326 1
Tb3 0.2327 0.0000 0.3827 1
Nd1 0.0000 0.1900 0.0000 1